Entry 1:
## CsZrTeI2 (PBEsol)

Data for CsZrTeI2 after structural relaxation.

The calculation puts the magnetic moment at 0.00 Bohr magnetons per cell. The symmetry is P4/mmm, No. 123. As for the total energy: -21.9 eV for the cell shown.

Unit cell a=5.7864 b=5.7864 c=5.5986 alpha=90.00 beta=90.00 gamma=90.00
With the nearest neighbours (Å) after each atom.
Sites, in units of the cell vectors:
Cs1 0.0000 0.0000 0.0000  8 I 4.03, 4 Te 4.09
Zr1 0.5000 0.5000 0.5000  2 Te 2.80, 4 I 2.89
Te1 0.5000 0.5000 0.0000  2 Zr 2.80
I1 0.0000 0.5000 0.5000  2 Zr 2.89
I2 0.5000 0.0000 0.5000  2 Zr 2.89


Entry 2:
## Si3RhW (PBEsol)

Data for Si3RhW after structural relaxation.

The calculation puts the magnetic moment at 0.50 Bohr magnetons per cell. The symmetry is Pm-3m, No. 221. As for the total energy: -33.9 eV for the cell shown.

Unit cell a=4.6094 b=4.6094 c=4.6094 alpha=90.00 beta=90.00 gamma=90.00
With the nearest neighbours (Å) after each atom.
Sites, in units of the cell vectors:
Si1 0.0000 0.0000 0.5000  2 W 2.30
Si2 0.0000 0.5000 0.0000  2 W 2.30
Si3 0.5000 0.0000 0.0000  2 W 2.30
Rh1 0.5000 0.5000 0.5000  12 Si 3.26
W1 0.0000 0.0000 0.0000  6 Si 2.30


Entry 3:
## Na3MgP2HO8 (PBEsol)

Data for Na3MgP2HO8 after structural relaxation.

The calculation puts the magnetic moment at 0.00 Bohr magnetons per cell. The symmetry is P-1, No. 2. As for the total energy: -96.8 eV for the cell shown.

Unit cell a=5.1680 b=5.2184 c=6.8327 alpha=90.27 beta=91.87 gamma=117.32
With the nearest neighbours (Å) after each atom.
Sites, in units of the cell vectors:
Na1 0.0000 0.0000 0.0000  6 O 2.45-2.48, 2 H 2.61
Na2 0.3384 0.7017 0.7130  4 O 2.30-2.56, 1 H 2.56
Na3 0.6616 0.2983 0.2870  4 O 2.30-2.56, 1 H 2.56
Mg1 0.0000 0.0000 0.5000  6 O 2.04-2.13
P1 0.3382 0.6462 0.2573  4 O 1.53-1.58
P2 0.6618 0.3538 0.7427  4 O 1.53-1.58
H1 0.0000 0.5000 0.0000  2 O 1.21
O1 0.2105 0.3179 0.2894  1 P 1.55
O2 0.2144 0.7841 0.4009  1 P 1.53
O3 0.2417 0.6877 0.0429  1 H 1.21
O4 0.3262 0.2064 0.7267  1 P 1.54
O5 0.6738 0.7936 0.2733  1 P 1.54
O6 0.7583 0.3123 0.9571  1 H 1.21
O7 0.7856 0.2159 0.5991  1 P 1.53
O8 0.7895 0.6821 0.7106  1 P 1.55


Entry 4:
## Cs2AsRu (PBEsol)

Data for Cs2AsRu after structural relaxation.

The calculation puts the magnetic moment at 13.82 Bohr magnetons per cell. For the calculated formation energy, the calculation gives 1.36 eV per atom. The symmetry is Fm-3m, No. 225.

Unit cell a=8.0204 b=8.0204 c=8.0204 alpha=90.00 beta=90.00 gamma=90.00
With the nearest neighbours (Å) after each atom.
Sites, in units of the cell vectors:
Cs1 0.2500 0.2500 0.2500  4 As 3.47, 4 Ru 3.47
Cs2 0.2500 0.2500 0.7500  4 As 3.47, 4 Ru 3.47
Cs3 0.2500 0.7500 0.2500  4 As 3.47, 4 Ru 3.47
Cs4 0.2500 0.7500 0.7500  4 As 3.47, 4 Ru 3.47
Cs5 0.7500 0.2500 0.2500  4 As 3.47, 4 Ru 3.47
Cs6 0.7500 0.2500 0.7500  4 As 3.47, 4 Ru 3.47
Cs7 0.7500 0.7500 0.2500  4 As 3.47, 4 Ru 3.47
Cs8 0.7500 0.7500 0.7500  4 As 3.47, 4 Ru 3.47
As1 0.0000 0.0000 0.0000  8 Cs 3.47
As2 0.0000 0.5000 0.5000  8 Cs 3.47
As3 0.5000 0.0000 0.5000  8 Cs 3.47
As4 0.5000 0.5000 0.0000  8 Cs 3.47
Ru1 0.0000 0.0000 0.5000  8 Cs 3.47
Ru2 0.0000 0.5000 0.0000  8 Cs 3.47
Ru3 0.5000 0.0000 0.0000  8 Cs 3.47
Ru4 0.5000 0.5000 0.5000  8 Cs 3.47


Entry 5:
## Ba2NbFeO6 (PBEsol)

Data for Ba2NbFeO6 after structural relaxation.

The calculation puts the magnetic moment at 3.00 Bohr magnetons per cell. The symmetry is P-3m1, No. 164. As for the total energy: -240.5 eV for the cell shown.

Unit cell a=5.6988 b=5.6988 c=13.8374 alpha=90.00 beta=90.00 gamma=120.00
With the nearest neighbours (Å) after each atom.
Sites, in units of the cell vectors:
Ba1 0.0000 0.0000 0.2483  12 O 2.84-2.88
Ba2 0.0000 0.0000 0.7517  12 O 2.84-2.88
Ba3 0.3333 0.6667 0.5947  12 O 2.84-2.93
Ba4 0.3333 0.6667 0.9072  12 O 2.78-2.91
Ba5 0.6667 0.3333 0.0928  12 O 2.78-2.91
Ba6 0.6667 0.3333 0.4053  12 O 2.84-2.93
Nb1 0.0000 0.0000 0.0000  6 O 2.02
Nb2 0.3333 0.6667 0.3467  6 O 1.98-2.05
Nb3 0.6667 0.3333 0.6533  6 O 1.98-2.05
Fe1 0.0000 0.0000 0.5000  6 O 1.93
Fe2 0.3333 0.6667 0.1576  6 O 1.93-1.94
Fe3 0.6667 0.3333 0.8424  6 O 1.93-1.94
O1 0.0293 0.5146 0.2462  1 Fe 1.94, 1 Nb 2.05
O2 0.1621 0.3242 0.4216  1 Fe 1.93, 1 Nb 1.98
O3 0.1621 0.8379 0.4216  1 Fe 1.93, 1 Nb 1.98
O4 0.1694 0.3387 0.0823  1 Fe 1.93, 1 Nb 2.02
O5 0.1694 0.8306 0.0823  1 Fe 1.93, 1 Nb 2.02
O6 0.3242 0.1621 0.5784  1 Fe 1.93, 1 Nb 1.98
O7 0.3387 0.1694 0.9177  1 Fe 1.93, 1 Nb 2.02
O8 0.4854 0.5146 0.2462  1 Fe 1.94, 1 Nb 2.05
O9 0.4854 0.9707 0.2462  1 Fe 1.94, 1 Nb 2.05
O10 0.5146 0.0293 0.7538  1 Fe 1.94, 1 Nb 2.05
O11 0.5146 0.4854 0.7538  1 Fe 1.94, 1 Nb 2.05
O12 0.6613 0.8306 0.0823  1 Fe 1.93, 1 Nb 2.02
O13 0.6758 0.8379 0.4216  1 Fe 1.93, 1 Nb 1.98
O14 0.8306 0.1694 0.9177  1 Fe 1.93, 1 Nb 2.02
O15 0.8306 0.6613 0.9177  1 Fe 1.93, 1 Nb 2.02
O16 0.8379 0.1621 0.5784  1 Fe 1.93, 1 Nb 1.98
O17 0.8379 0.6758 0.5784  1 Fe 1.93, 1 Nb 1.98
O18 0.9707 0.4854 0.7538  1 Fe 1.94, 1 Nb 2.05


Entry 6:
## CoOs3 (PBEsol)

Data for CoOs3 after structural relaxation.

The calculation puts the magnetic moment at 0.00 Bohr magnetons per cell. For the calculated formation energy, the calculation gives 0.04 eV per atom. The symmetry is Pmmn, No. 59.

Unit cell a=4.2146 b=5.3288 c=4.6346 alpha=90.00 beta=90.00 gamma=90.00
With the nearest neighbours (Å) after each atom.
Sites, in units of the cell vectors:
Co1 0.2500 0.2500 0.1601  12 Os 2.57-2.73
Co2 0.7500 0.7500 0.8399  12 Os 2.57-2.73
Os1 0.2500 0.5033 0.6723  4 Co 2.60-2.73, 8 Os 2.61-2.72
Os2 0.2500 0.7500 0.1584  4 Co 2.57-2.66, 8 Os 2.61-2.72
Os3 0.2500 0.9967 0.6723  4 Co 2.60-2.73, 8 Os 2.61-2.72
Os4 0.7500 0.0033 0.3277  4 Co 2.60-2.73, 8 Os 2.61-2.72
Os5 0.7500 0.2500 0.8416  4 Co 2.57-2.66, 8 Os 2.61-2.72
Os6 0.7500 0.4967 0.3277  4 Co 2.60-2.73, 8 Os 2.61-2.72


Entry 7:
## MnBe2Fe (PBEsol)

Data for MnBe2Fe after structural relaxation.

The calculation puts the magnetic moment at 4.05 Bohr magnetons per cell. For the calculated formation energy, the calculation gives -0.05 eV per atom. The symmetry is Cmmm, No. 65.

Unit cell a=2.8390 b=3.6442 c=7.0927 alpha=90.00 beta=90.00 gamma=90.00
With the nearest neighbours (Å) after each atom.
Sites, in units of the cell vectors:
Mn1 0.0000 0.0000 0.0000  8 Be 2.28-2.55, 4 Mn 2.31
Mn2 0.5000 0.5000 0.0000  8 Be 2.28-2.55, 4 Mn 2.31
Be1 0.0000 0.5000 0.2521  2 Fe 2.26, 2 Mn 2.28, 4 Be 2.31
Be2 0.0000 0.5000 0.7479  2 Fe 2.26, 2 Mn 2.28, 4 Be 2.31
Be3 0.5000 0.0000 0.2521  2 Fe 2.26, 2 Mn 2.28, 4 Be 2.31
Be4 0.5000 0.0000 0.7479  2 Fe 2.26, 2 Mn 2.28, 4 Be 2.31
Fe1 0.0000 0.0000 0.5000  4 Be 2.26, 4 Fe 2.31
Fe2 0.5000 0.5000 0.5000  4 Be 2.26, 4 Fe 2.31


Entry 8:
## SrPbAu2 (PBEsol)

Data for SrPbAu2 after structural relaxation.

The calculation puts the magnetic moment at 0.00 Bohr magnetons per cell. For the calculated formation energy, the calculation gives -0.37 eV per atom. The symmetry is Imm2, No. 44.

Unit cell a=3.9235 b=5.0412 c=9.7259 alpha=90.00 beta=90.00 gamma=90.00
With the nearest neighbours (Å) after each atom.
Sites, in units of the cell vectors:
Sr1 0.0000 0.0000 0.0000  8 Au 3.20-3.35, 4 Pb 3.29-3.37
Sr2 0.5000 0.5000 0.5000  8 Au 3.20-3.35, 4 Pb 3.29-3.37
Pb1 0.0000 0.5000 0.2182  6 Au 3.01-3.24, 4 Sr 3.29-3.37
Pb2 0.5000 0.0000 0.7182  6 Au 3.01-3.24, 4 Sr 3.29-3.37
Au1 0.0000 0.0000 0.4832  2 Au 2.83, 2 Pb 3.01
Au2 0.0000 0.5000 0.7735  2 Au 2.83
Au3 0.5000 0.0000 0.2735  2 Au 2.83
Au4 0.5000 0.5000 0.9832  2 Au 2.83, 2 Pb 3.01


Entry 9:
## MnFeIr (PBEsol)

Data for MnFeIr after structural relaxation.

The calculation puts the magnetic moment at 0.47 Bohr magnetons per cell. For the calculated formation energy, the calculation gives -0.04 eV per atom. The symmetry is P-6m2, No. 187.

Unit cell a=3.9740 b=3.9740 c=2.5852 alpha=90.00 beta=90.00 gamma=120.00
With the nearest neighbours (Å) after each atom.
Sites, in units of the cell vectors:
Mn1 0.0000 0.0000 0.0000  3 Fe 2.29
Fe1 0.3333 0.6667 0.0000  3 Mn 2.29
Ir1 0.6667 0.3333 0.5000  2 Ir 2.59, 6 Mn 2.63, 6 Fe 2.63


Entry 10:
## CuI (PBEsol)

Data for CuI after structural relaxation.

The calculation puts the magnetic moment at 0.00 Bohr magnetons per cell. The symmetry is P4/nmm, No. 129. As for the total energy: -12.6 eV for the cell shown.

Unit cell a=3.9923 b=3.9923 c=6.3643 alpha=90.00 beta=90.00 gamma=90.00
With the nearest neighbours (Å) after each atom.
Sites, in units of the cell vectors:
Cu1 0.2500 0.7500 0.0000  4 I 2.62, 4 Cu 2.82
Cu2 0.7500 0.2500 0.0000  4 I 2.62, 4 Cu 2.82
I1 0.2500 0.2500 0.2669  4 Cu 2.62
I2 0.7500 0.7500 0.7331  4 Cu 2.62